# 1
Material: Li2AlAu4
Method: DFT, PBE
State: relaxed

Properties
- Energy above the lowest structure with this stoichiometry: 391 meV/atom
- Calculated formation energy: -0.049 eV/atom
- Calculated total energy: -3.00 eV per atom

Unit cell a=4.8427 b=4.8427 c=13.4429 alpha=90.00 beta=90.00 gamma=90.00
Closest atoms and distances in Å follow each position.
Space group I4/mmm (No. 139)
Unique sites:
Li: 0.0000 0.0000 0.1179  5 Au 2.62-2.89
Al: 0.0000 0.0000 0.5000  6 Au 2.42-2.51
Au: 0.0000 0.0000 0.3130  1 Al 2.51, 1 Li 2.62
Au: 0.0000 0.5000 0.0000  2 Al 2.42

=====

# 2
Material: Li3AlAu3
Method: DFT, PBE
State: relaxed

Properties
- Energy above the lowest structure with this stoichiometry: 0 meV/atom
- Calculated formation energy: -0.473 eV/atom
- Calculated total energy: -3.23 eV per atom

Unit cell a=8.6564 b=9.1862 c=6.0249 alpha=90.00 beta=90.00 gamma=90.00
Closest atoms and distances in Å follow each position.
Space group Cmmm (No. 65)
Unique sites:
Li: 0.0000 0.2465 0.0000  6 Au 2.63-2.76
Li: 0.2176 0.0000 0.5000  6 Au 2.77-2.88, 2 Li 3.02, 2 Al 3.05
Li: 0.2335 0.0000 0.0000  6 Au 2.74, 4 Li 3.02-3.04
Al: 0.0000 0.2617 0.5000  6 Au 2.65-2.67
Au: 0.0000 0.5000 0.2467  2 Al 2.67, 6 Li 2.74-2.88, 1 Au 2.97
Au: 0.2500 0.2500 0.2480  6 Li 2.63-2.77, 2 Al 2.65

=====

# 3
Material: LiAl2Au2
Method: DFT, PBE
State: relaxed

Properties
- Energy above the lowest structure with this stoichiometry: 0 meV/atom
- Calculated formation energy: -0.480 eV/atom
- Calculated total energy: -3.67 eV per atom

Unit cell a=4.3478 b=4.3673 c=9.1832 alpha=90.00 beta=90.00 gamma=90.00
Closest atoms and distances in Å follow each position.
Space group Pmmn (No. 59, origin choice 2)
Unique sites:
Li: 0.2500 0.2500 0.1787  6 Au 2.65-2.75
Al: 0.2500 0.2500 0.5038  4 Au 2.59-2.62
Al: 0.2500 0.2500 0.8236  6 Au 2.67-2.75, 1 Al 2.94
Au: 0.2500 0.7500 0.0054  4 Al 2.68-2.75, 4 Li 2.70-2.75
Au: 0.2500 0.7500 0.6563  6 Al 2.59-2.67, 2 Li 2.65

=====

# 4
Material: LiLuAlAu
Method: DFT, PBE
State: relaxed

Properties
- Calculated formation energy: -0.613 eV/atom
- Calculated total energy: -3.98 eV per atom

Unit cell a=6.5927 b=6.5927 c=6.5927 alpha=90.00 beta=90.00 gamma=90.00
Closest atoms and distances in Å follow each position.
Space group F-43m (No. 216)
Unique sites:
Li: 0.0000 0.0000 0.0000  4 Al 2.85, 4 Lu 2.85
Lu: 0.2500 0.2500 0.2500  4 Au 2.85, 4 Li 2.85
Al: 0.2500 0.2500 0.7500  4 Li 2.85, 4 Au 2.85
Au: 0.0000 0.0000 0.5000  4 Al 2.85, 4 Lu 2.85

=====

# 5
Material: LiMgAl2Au4
Method: DFT, PBE
State: relaxed

Properties
- Calculated formation energy: -0.515 eV/atom
- Calculated total energy: -3.53 eV per atom

Unit cell a=4.5099 b=4.5099 c=22.4197 alpha=90.00 beta=90.00 gamma=120.00
Closest atoms and distances in Å follow each position.
Space group R-3m (No. 166, hexagonal axes)
Unique sites:
Li: 0.0000 0.0000 0.0000  8 Au 2.71-2.75
Mg: 0.0000 0.0000 0.5000  8 Au 2.80-2.84
Al: 0.0000 0.0000 0.2522  8 Au 2.72-2.94
Au: 0.0000 0.0000 0.1209  1 Li 2.71, 4 Al 2.75-2.94, 3 Mg 2.80
Au: 0.0000 0.0000 0.3734  4 Al 2.72-2.76, 3 Li 2.75, 1 Mg 2.84

=====

# 6
Material: LiMg2Al2Au5
Method: DFT, PBE
State: relaxed

Properties
- Calculated formation energy: -0.393 eV/atom
- Calculated total energy: -3.29 eV per atom

Unit cell a=9.9380 b=9.9380 c=3.6597 alpha=90.00 beta=90.00 gamma=90.00
Closest atoms and distances in Å follow each position.
Space group P4/mbm (No. 127)
Unique sites:
Li: 0.0000 0.0000 0.0000  8 Au 2.74
Mg: 0.1698 0.3302 0.0000  3 Al 2.77-3.03, 2 Au 3.01
Al: 0.1329 0.6329 0.0000  6 Au 2.60-2.61, 1 Mg 2.77
Au: 0.0000 0.5000 0.5000  4 Al 2.61
Au: 0.0644 0.8054 0.5000  2 Al 2.60, 2 Li 2.74, 2 Au 2.88

=====

# 7
Material: LiAl2AuN
Method: DFT, PBE
State: relaxed

Properties
- Uncorrected formation energy: -0.504 eV/atom
- Calculated total energy: -4.70 eV per atom

Unit cell a=3.9354 b=3.9354 c=4.1099 alpha=90.00 beta=90.00 gamma=90.00
Closest atoms and distances in Å follow each position.
Space group P4/mmm (No. 123)
Unique sites:
Li: 0.0000 0.0000 0.0000  2 N 2.05
Al: 0.0000 0.5000 0.5000  2 N 1.97
Au: 0.5000 0.5000 0.0000  4 Li 2.78, 8 Al 2.85
N: 0.0000 0.0000 0.5000  4 Al 1.97, 2 Li 2.05

=====

# 8
Material: Na2LiAlAu6
Method: DFT, PBE
State: relaxed

Properties
- Calculated formation energy: -0.317 eV/atom
- Calculated total energy: -3.11 eV per atom

Unit cell a=4.8211 b=6.6063 c=6.9526 alpha=73.60 beta=72.83 gamma=72.90
Closest atoms and distances in Å follow each position.
Space group P-1 (No. 2)
Unique sites:
Na: 0.2376 0.3851 0.1251  6 Au 2.96-3.08, 2 Na 3.07-3.15
Li: 0.0000 0.0000 0.0000  8 Au 2.71-2.88
Al: 0.5000 0.5000 0.5000  8 Au 2.55-2.81
Au: 0.0369 0.2839 0.5988  2 Al 2.74-2.81, 5 Au 2.76-3.02, 1 Li 2.88, 1 Na 3.06
Au: 0.2765 0.8336 0.6571  1 Al 2.55, 1 Li 2.72, 1 Au 2.81
Au: 0.4748 0.8888 0.2042  2 Li 2.71-2.85, 5 Au 2.78-2.96, 1 Al 2.80

=====

# 9
Material: Na2LiAl2Au5
Method: DFT, PBE
State: relaxed

Properties
- Calculated formation energy: -0.390 eV/atom
- Calculated total energy: -3.23 eV per atom

Unit cell a=10.9367 b=10.9367 c=3.1478 alpha=90.00 beta=90.00 gamma=90.00
Closest atoms and distances in Å follow each position.
Space group P4/mbm (No. 127)
Unique sites:
Na: 0.1704 0.3296 0.0000  3 Al 3.03-3.35, 6 Au 3.07-3.26, 2 Na 3.15
Li: 0.0000 0.0000 0.0000  8 Au 2.69
Al: 0.1340 0.6340 0.0000  6 Au 2.60-2.61
Au: 0.0000 0.5000 0.5000  4 Al 2.60
Au: 0.0694 0.8129 0.5000  2 Al 2.61, 2 Li 2.69

=====

# 10
Material: NaLiAlAu
Method: DFT, PBE
State: relaxed

Properties
- Calculated formation energy: -0.264 eV/atom
- Calculated total energy: -2.83 eV per atom

Unit cell a=6.5298 b=6.5298 c=6.5298 alpha=90.00 beta=90.00 gamma=90.00
Closest atoms and distances in Å follow each position.
Space group F-43m (No. 216)
Unique sites:
Na: 0.0000 0.0000 0.0000  4 Li 2.83, 4 Al 2.83
Li: 0.2500 0.2500 0.2500  4 Au 2.83, 4 Na 2.83
Al: 0.2500 0.2500 0.7500  4 Na 2.83, 4 Au 2.83
Au: 0.0000 0.0000 0.5000  4 Al 2.83, 4 Li 2.83

=====

# 11
Material: NaLiAl2Au4
Method: DFT, PBE
State: relaxed

Properties
- Calculated formation energy: -0.408 eV/atom
- Calculated total energy: -3.39 eV per atom

Unit cell a=4.5247 b=4.5247 c=22.6953 alpha=90.00 beta=90.00 gamma=120.00
Closest atoms and distances in Å follow each position.
Space group R-3m (No. 166, hexagonal axes)
Unique sites:
Na: 0.0000 0.0000 0.0000  8 Au 2.85-2.95
Li: 0.0000 0.0000 0.5000  8 Au 2.64-2.74
Al: 0.0000 0.0000 0.2487  7 Au 2.70-2.81
Au: 0.0000 0.0000 0.1300  4 Al 2.70-2.81, 3 Li 2.74, 1 Na 2.95
Au: 0.0000 0.0000 0.3835  1 Li 2.64, 3 Al 2.73, 3 Na 2.85

=====

# 12
Material: LiNdAl2Au4
Method: DFT, PBE
State: relaxed

Properties
- Calculated formation energy: -0.635 eV/atom
- Calculated total energy: -4.04 eV per atom

Unit cell a=4.4758 b=4.4758 c=25.9524 alpha=90.00 beta=90.00 gamma=120.00
Closest atoms and distances in Å follow each position.
Space group R-3m (No. 166, hexagonal axes)
Unique sites:
Li: 0.0000 0.0000 0.0000  8 Au 2.60-2.73
Nd: 0.0000 0.0000 0.5000  8 Au 3.11-3.46
Al: 0.0000 0.0000 0.2612  7 Au 2.68-2.77
Au: 0.0000 0.0000 0.1001  1 Li 2.60, 3 Al 2.68
Au: 0.0000 0.0000 0.3668  3 Li 2.73, 4 Al 2.74-2.77

=====

# 13
Material: Li2NdAl2Au2
Method: DFT, PBE
State: relaxed

Properties
- Calculated formation energy: -0.580 eV/atom
- Calculated total energy: -3.81 eV per atom

Unit cell a=7.7899 b=4.4754 c=8.0916 alpha=90.00 beta=108.32 gamma=90.00
Closest atoms and distances in Å follow each position.
Space group C2/m (No. 12)
Unique sites:
Li: 0.1414 0.0000 0.4269  1 Au 2.57, 3 Al 2.76, 3 Li 2.81-2.83
Nd: 0.0000 0.0000 0.0000  6 Au 3.17-3.18, 2 Li 3.28, 6 Al 3.47-3.49
Al: 0.0665 0.5000 0.6978  3 Au 2.63-2.64, 3 Li 2.76
Au: 0.2453 0.5000 0.2388  1 Li 2.57, 3 Al 2.63-2.64

=====

# 14
Material: LiNd2Al3Au4
Method: DFT, PBE
State: relaxed

Properties
- Calculated formation energy: -0.690 eV/atom
- Calculated total energy: -4.27 eV per atom

Unit cell a=4.4676 b=4.4676 c=10.3036 alpha=90.00 beta=90.00 gamma=90.00
Closest atoms and distances in Å follow each position.
Space group P-4m2 (No. 115)
Unique sites:
Li: 0.0000 0.0000 0.0000  4 Au 2.58
Nd: 0.0000 0.5000 0.7458  6 Al 3.37-3.44, 8 Au 3.38-3.43, 2 Li 3.44
Al: 0.0000 0.5000 0.3682  5 Au 2.50-2.61
Al: 0.5000 0.5000 0.0000  4 Au 2.58
Au: 0.0000 0.0000 0.5000  4 Al 2.61
Au: 0.0000 0.5000 0.1255  3 Al 2.50-2.58, 2 Li 2.58
Au: 0.5000 0.5000 0.5000  4 Al 2.61

=====

# 15
Material: Li2NdAlAu4
Method: DFT, PBE
State: relaxed

Properties
- Calculated formation energy: -0.618 eV/atom
- Calculated total energy: -3.80 eV per atom

Unit cell a=4.4626 b=4.4626 c=26.2204 alpha=90.00 beta=90.00 gamma=120.00
Closest atoms and distances in Å follow each position.
Space group R-3m (No. 166, hexagonal axes)
Unique sites:
Li: 0.0000 0.0000 0.2376  7 Au 2.69-2.78
Nd: 0.0000 0.0000 0.0000  8 Au 3.11-3.45
Al: 0.0000 0.0000 0.5000  8 Au 2.64-2.74
Au: 0.0000 0.0000 0.1316  3 Al 2.74, 4 Li 2.74-2.78
Au: 0.0000 0.0000 0.3995  1 Al 2.64, 3 Li 2.69

=====

# 16
Material: LiNpAl2Au4
Method: DFT, PBE
State: relaxed

Properties
- Calculated formation energy: -0.388 eV/atom
- Calculated total energy: -4.82 eV per atom

Unit cell a=4.4731 b=4.4731 c=25.4785 alpha=90.00 beta=90.00 gamma=120.00
Closest atoms and distances in Å follow each position.
Space group R-3m (No. 166, hexagonal axes)
Unique sites:
Li: 0.0000 0.0000 0.0000  8 Au 2.65-2.73
Np: 0.0000 0.0000 0.5000  8 Au 3.04-3.36
Al: 0.0000 0.0000 0.2598  7 Au 2.70-2.77
Au: 0.0000 0.0000 0.1040  1 Li 2.65, 3 Al 2.70
Au: 0.0000 0.0000 0.3680  3 Li 2.73, 4 Al 2.76-2.77

=====

# 17
Material: LiAlP2Au
Method: DFT, PBE
State: relaxed

Properties
- Calculated formation energy: 0.299 eV/atom
- Calculated total energy: -3.65 eV per atom

Unit cell a=4.6402 b=4.6402 c=5.0334 alpha=90.00 beta=90.00 gamma=90.00
Closest atoms and distances in Å follow each position.
Space group P4/mmm (No. 123)
Unique sites:
Li: 0.0000 0.0000 0.0000  4 Au 3.28, 8 P 3.42
Al: 0.5000 0.5000 0.5000  4 P 2.32, 2 Au 2.52
P: 0.0000 0.5000 0.5000  2 Al 2.32
Au: 0.5000 0.5000 0.0000  2 Al 2.52

=====

# 18
Material: Li2AlPAu
Method: DFT, PBE
State: relaxed

Properties
- Calculated formation energy: 0.475 eV/atom
- Calculated total energy: -2.78 eV per atom

Unit cell a=4.8223 b=4.8223 c=4.6288 alpha=90.00 beta=90.00 gamma=90.00
Closest atoms and distances in Å follow each position.
Space group P4/mmm (No. 123)
Unique sites:
Li: 0.0000 0.5000 0.0000  2 Al 2.41
Al: 0.0000 0.0000 0.0000  2 Au 2.31, 4 Li 2.41
P: 0.5000 0.5000 0.5000  8 Li 3.34, 4 Au 3.41
Au: 0.0000 0.0000 0.5000  2 Al 2.31

=====

# 19
Material: LiPaAl2Au4
Method: DFT, PBE
State: relaxed

Properties
- Calculated formation energy: -0.498 eV/atom
- Calculated total energy: -4.50 eV per atom

Unit cell a=4.4438 b=4.4438 c=25.6234 alpha=90.00 beta=90.00 gamma=120.00
Closest atoms and distances in Å follow each position.
Space group R-3m (No. 166, hexagonal axes)
Unique sites:
Li: 0.0000 0.0000 0.0000  8 Au 2.72-2.73
Pa: 0.0000 0.0000 0.5000  6 Au 2.99
Al: 0.0000 0.0000 0.2609  7 Au 2.71-2.76
Au: 0.0000 0.0000 0.1065  3 Al 2.71, 1 Li 2.73, 3 Pa 2.99
Au: 0.0000 0.0000 0.3685  3 Li 2.72, 4 Al 2.74-2.76

=====

# 20
Material: LiPaAlAu
Method: DFT, PBE
State: relaxed

Properties
- Calculated formation energy: -0.154 eV/atom
- Calculated total energy: -4.76 eV per atom

Unit cell a=6.7930 b=6.7930 c=6.7930 alpha=90.00 beta=90.00 gamma=90.00
Closest atoms and distances in Å follow each position.
Space group F-43m (No. 216)
Unique sites:
Li: 0.0000 0.0000 0.0000  4 Pa 2.94, 4 Al 2.94
Pa: 0.2500 0.2500 0.2500  4 Li 2.94, 4 Au 2.94
Al: 0.2500 0.2500 0.7500  4 Li 2.94, 4 Au 2.94
Au: 0.0000 0.0000 0.5000  4 Pa 2.94, 4 Al 2.94

=====

# 21
Material: LiAlPbAu
Method: DFT, PBE
State: relaxed

Properties
- Calculated formation energy: -0.156 eV/atom
- Calculated total energy: -3.32 eV per atom

Unit cell a=6.7835 b=6.7835 c=6.7835 alpha=90.00 beta=90.00 gamma=90.00
Closest atoms and distances in Å follow each position.
Space group F-43m (No. 216)
Unique sites:
Li: 0.0000 0.0000 0.0000  4 Pb 2.94, 4 Au 2.94
Al: 0.0000 0.0000 0.5000  4 Pb 2.94, 4 Au 2.94
Pb: 0.2500 0.2500 0.2500  4 Li 2.94, 4 Al 2.94
Au: 0.2500 0.2500 0.7500  4 Li 2.94, 4 Al 2.94

=====

# 22
Material: Li2AlPbAu4
Method: DFT, PBE
State: relaxed

Properties
- Calculated formation energy: -0.424 eV/atom
- Calculated total energy: -3.47 eV per atom

Unit cell a=4.5622 b=4.5622 c=24.1138 alpha=90.00 beta=90.00 gamma=120.00
Closest atoms and distances in Å follow each position.
Space group R-3m (No. 166, hexagonal axes)
Unique sites:
Li: 0.0000 0.0000 0.2491  7 Au 2.70-2.92
Al: 0.0000 0.0000 0.5000  8 Au 2.58-2.73
Pb: 0.0000 0.0000 0.0000  8 Au 3.00-3.28, 6 Li 3.33
Au: 0.0000 0.0000 0.1361  4 Li 2.72-2.92, 3 Al 2.73, 3 Au 3.02
Au: 0.0000 0.0000 0.3931  1 Al 2.58, 3 Li 2.70

=====

# 23
Material: Li2PmAlAu4
Method: DFT, PBE
State: relaxed

Properties
- Calculated formation energy: -0.622 eV/atom
- Calculated total energy: -3.80 eV per atom

Unit cell a=4.4590 b=4.4590 c=26.0276 alpha=90.00 beta=90.00 gamma=120.00
Closest atoms and distances in Å follow each position.
Space group R-3m (No. 166, hexagonal axes)
Unique sites:
Li: 0.0000 0.0000 0.2383  7 Au 2.69-2.79
Pm: 0.0000 0.0000 0.0000  8 Au 3.09-3.42
Al: 0.0000 0.0000 0.5000  8 Au 2.64-2.73
Au: 0.0000 0.0000 0.1313  3 Al 2.73, 4 Li 2.74-2.79
Au: 0.0000 0.0000 0.3987  1 Al 2.64, 3 Li 2.69

=====

# 24
Material: LiPm2Al4Au3
Method: DFT, PBE
State: relaxed

Properties
- Calculated formation energy: -0.649 eV/atom
- Calculated total energy: -4.27 eV per atom

Unit cell a=4.3512 b=4.3512 c=10.6714 alpha=90.00 beta=90.00 gamma=90.00
Closest atoms and distances in Å follow each position.
Space group P-4m2 (No. 115)
Unique sites:
Li: 0.0000 0.0000 0.0000  4 Al 2.59
Pm: 0.0000 0.5000 0.7502  6 Au 3.32-3.44, 8 Al 3.32-3.44, 2 Li 3.44
Al: 0.0000 0.0000 0.5000  4 Au 2.59
Al: 0.0000 0.5000 0.1318  3 Au 2.52-2.59, 2 Li 2.59
Al: 0.5000 0.5000 0.5000  4 Au 2.59
Au: 0.0000 0.5000 0.3675  5 Al 2.52-2.59
Au: 0.5000 0.5000 0.0000  4 Al 2.59